No. 1
VASP calculation (PBE-GGA) on a relaxed structure of Tb2Sm3N4.

Unit cell a=3.5527 b=3.5527 c=14.8210 alpha=90.07 beta=89.93 gamma=119.99
Last column: nearest neighbours and their distance in Å.
Atoms (fractional coordinates):
Sm: 0.3344 0.6656 0.6190  3 N 2.40
Sm: 0.0000 0.0000 0.0000  6 N 2.55
Sm: 0.6656 0.3344 0.3810  3 N 2.40
N: 0.0008 0.9992 0.7031  3 Sm 2.40, 3 Tb 2.59
N: 0.6664 0.3336 0.1025  3 Tb 2.42-2.43, 3 Sm 2.55
N: 0.3336 0.6664 0.8975  3 Tb 2.42-2.43, 3 Sm 2.55
N: 0.9992 0.0008 0.2969  3 Sm 2.40, 3 Tb 2.59
Tb: 0.6672 0.3328 0.8103  6 N 2.42-2.59
Tb: 0.3328 0.6672 0.1897  6 N 2.42-2.59

Values from the calculation:
- calculated volume (Å³/cell) = 162.0
- total moment (μB/f.u.) = 0.214
- E_form (uncorrected) (eV/atom) = -1.376
- total energy (eV/cell) = -69.1

***

No. 2
VASP calculation (PBE-GGA) on a relaxed structure of Tb4SmN4.

Unit cell a=4.9529 b=6.1262 c=6.1251 alpha=80.60 beta=66.15 gamma=66.16
Last column: nearest neighbours and their distance in Å.
Atoms (fractional coordinates):
N: 0.6982 0.2024 0.4012  5 Tb 2.37-2.53, 1 Sm 2.52
N: 0.9007 0.4010 0.7976  5 Tb 2.37-2.54, 1 Sm 2.52
N: 0.0993 0.5990 0.2024  5 Tb 2.37-2.54, 1 Sm 2.52
N: 0.3018 0.7976 0.5988  5 Tb 2.37-2.53, 1 Sm 2.52
Tb: 0.1860 0.2042 0.4238  5 N 2.37-2.54
Tb: 0.8140 0.7958 0.5762  5 N 2.37-2.54
Tb: 0.6098 0.5761 0.2043  5 N 2.37-2.53
Tb: 0.3902 0.4239 0.7957  5 N 2.37-2.53
Sm: 0.0000 0.0000 0.0000  4 N 2.52

Values from the calculation:
- calculated volume (Å³/cell) = 155.5
- total moment (μB/f.u.) = 0.000
- E_form (uncorrected) (eV/atom) = -1.440
- total energy (eV/cell) = -69.5

***

No. 3
VASP calculation (PBE-GGA) on a relaxed structure of Tb5Sm3N8.

Unit cell a=7.0651 b=7.0651 c=7.0656 alpha=60.00 beta=60.00 gamma=60.00
Last column: nearest neighbours and their distance in Å.
Atoms (fractional coordinates):
Sm: 0.5000 0.0000 0.5000  6 N 2.52
Sm: 0.0000 0.0000 0.5000  6 N 2.52
Sm: 0.0000 0.5000 0.5000  6 N 2.52
N: 0.7481 0.7481 0.7557  3 Tb 2.48, 3 Sm 2.52
N: 0.7463 0.2500 0.7537  4 Tb 2.48-2.50, 2 Sm 2.52
N: 0.7500 0.2537 0.2463  4 Tb 2.48-2.50, 2 Sm 2.52
N: 0.2537 0.7500 0.2463  4 Tb 2.48-2.50, 2 Sm 2.52
N: 0.2500 0.7463 0.7537  4 Tb 2.48-2.50, 2 Sm 2.52
N: 0.2500 0.2500 0.7537  4 Tb 2.48-2.50, 2 Sm 2.52
N: 0.7500 0.7500 0.2463  4 Tb 2.48-2.50, 2 Sm 2.52
N: 0.2519 0.2519 0.2443  3 Tb 2.48, 3 Sm 2.52
Tb: 0.0000 0.0000 0.0000  6 N 2.50
Tb: 0.5000 0.5000 0.0000  6 N 2.48
Tb: 0.0000 0.5000 0.0000  6 N 2.48
Tb: 0.5000 0.0000 0.0000  6 N 2.48
Tb: 0.5000 0.5000 0.5000  6 N 2.50

Values from the calculation:
- calculated volume (Å³/cell) = 249.4
- total moment (μB/f.u.) = 0.000
- E_form (uncorrected) (eV/atom) = -1.588
- total energy (eV/cell) = -129.3

***

No. 4
VASP calculation (PBE-GGA) on a relaxed structure of TbSm2N.

Unit cell a=3.5365 b=3.5365 c=9.8183 alpha=79.62 beta=79.62 gamma=60.00
Last column: nearest neighbours and their distance in Å.
Atoms (fractional coordinates):
Sm: 0.8804 0.8804 0.3587  3 N 2.45
Sm: 0.1196 0.1196 0.6413  3 N 2.45
N: 0.5000 0.5000 0.5000  6 Sm 2.45
Tb: 0.0000 0.0000 0.0000  2 Sm 3.45, 6 Tb 3.54

Values from the calculation:
- calculated volume (Å³/cell) = 104.0
- total moment (μB/f.u.) = 0.001
- E_form (uncorrected) (eV/atom) = -0.588
- total energy (eV/cell) = -24.7

***

No. 5
VASP calculation (PBE-GGA) on a relaxed structure of Tb3Sm2N4.

Unit cell a=3.5277 b=6.1497 c=7.9787 alpha=75.32 beta=77.23 gamma=73.33
Last column: nearest neighbours and their distance in Å.
Atoms (fractional coordinates):
N: 0.8013 0.0995 0.2980  3 Sm 2.40-2.58, 3 Tb 2.50-2.53
N: 0.6044 0.6970 0.0941  5 Tb 2.37-2.51, 1 Sm 2.54
N: 0.3956 0.3030 0.9059  5 Tb 2.37-2.51, 1 Sm 2.54
N: 0.1987 0.9005 0.7020  3 Sm 2.40-2.58, 3 Tb 2.50-2.53
Sm: 0.3950 0.8231 0.3870  4 N 2.40-2.58
Sm: 0.6050 0.1769 0.6130  4 N 2.40-2.58
Tb: 0.7934 0.5994 0.8138  5 N 2.37-2.53
Tb: 0.2066 0.4006 0.1862  5 N 2.37-2.53
Tb: 0.0000 0.0000 0.0000  6 N 2.50-2.51

Values from the calculation:
- calculated volume (Å³/cell) = 158.3
- total moment (μB/f.u.) = 0.001
- E_form (uncorrected) (eV/atom) = -1.413
- total energy (eV/cell) = -69.3

***

No. 6
VASP calculation (PBE-GGA) on a relaxed structure of Tb4SmN5.

Unit cell a=4.9754 b=6.0899 c=6.0899 alpha=80.39 beta=65.89 gamma=65.89
Last column: nearest neighbours and their distance in Å.
Atoms (fractional coordinates):
N: 0.8973 0.4047 0.7978  5 Tb 2.45-2.51, 1 Sm 2.51
N: 0.5000 0.0000 0.0000  2 Sm 2.47-2.50, 4 Tb 2.49
N: 0.3020 0.7978 0.5953  5 Tb 2.45-2.51, 1 Sm 2.51
N: 0.0997 0.5953 0.2022  5 Tb 2.45-2.51, 1 Sm 2.51
N: 0.6950 0.2022 0.4047  5 Tb 2.45-2.51, 1 Sm 2.51
Tb: 0.2026 0.2010 0.4005  6 N 2.45-2.51
Tb: 0.6030 0.5995 0.2010  6 N 2.45-2.51
Tb: 0.8041 0.7990 0.5995  6 N 2.45-2.51
Tb: 0.4036 0.4005 0.7990  6 N 2.45-2.51
Sm: 0.0030 0.0000 0.0000  6 N 2.47-2.51

Values from the calculation:
- calculated volume (Å³/cell) = 153.7
- total moment (μB/f.u.) = 0.000
- E_form (uncorrected) (eV/atom) = -1.623
- total energy (eV/cell) = -81.1

***

No. 7
VASP calculation (PBE-GGA) on a relaxed structure of Tb3SmN3.

Unit cell a=4.9854 b=4.9854 c=4.9854 alpha=90.00 beta=90.00 gamma=90.00
Last column: nearest neighbours and their distance in Å.
Atoms (fractional coordinates):
Tb: 0.5000 0.0000 0.0000  4 N 2.49
Tb: 0.0000 0.0000 0.5000  4 N 2.49
Tb: 0.0000 0.5000 0.0000  4 N 2.49
N: 0.5000 0.5000 0.0000  2 Sm 2.49, 4 Tb 2.49
N: 0.5000 0.0000 0.5000  4 Tb 2.49, 2 Sm 2.49
N: 0.0000 0.5000 0.5000  2 Sm 2.49, 4 Tb 2.49
Sm: 0.5000 0.5000 0.5000  6 N 2.49

Values from the calculation:
- calculated volume (Å³/cell) = 123.9
- total moment (μB/f.u.) = 0.000
- E_form (uncorrected) (eV/atom) = -1.304
- total energy (eV/cell) = -52.7

***

No. 8
VASP calculation (PBE-GGA) on a relaxed structure of TbSm3N.

Unit cell a=5.0798 b=5.0798 c=5.0798 alpha=90.00 beta=90.00 gamma=90.00
Last column: nearest neighbours and their distance in Å.
Atoms (fractional coordinates):
Sm: 0.0000 0.5000 0.0000  2 N 2.54
Sm: 0.5000 0.0000 0.0000  2 N 2.54
Sm: 0.0000 0.0000 0.5000  2 N 2.54
N: 0.0000 0.0000 0.0000  6 Sm 2.54
Tb: 0.5000 0.5000 0.5000  12 Sm 3.59

Values from the calculation:
- calculated volume (Å³/cell) = 131.1
- total moment (μB/f.u.) = 0.000
- E_form (uncorrected) (eV/atom) = -0.472
- total energy (eV/cell) = -29.5

***

No. 9
VASP calculation (PBE-GGA) on a relaxed structure of TbSm2TcN4.

Unit cell a=3.4601 b=6.1609 c=11.8932 alpha=90.00 beta=90.00 gamma=106.31
Last column: nearest neighbours and their distance in Å.
Atoms (fractional coordinates):
Tc: 0.8621 0.7242 0.7500  4 N 1.97-2.05
Tc: 0.1379 0.2758 0.2500  4 N 1.97-2.05
N: 0.5578 0.1155 0.2500  2 Tc 1.97
N: 0.2673 0.5346 0.1356  1 Tc 2.05
N: 0.4422 0.8845 0.7500  2 Tc 1.97
N: 0.0000 0.0000 0.5000  4 Sm 2.38
N: 0.0000 0.0000 0.0000  4 Sm 2.38
N: 0.7327 0.4654 0.8644  1 Tc 2.05
N: 0.2673 0.5346 0.3644  1 Tc 2.05
N: 0.7327 0.4654 0.6356  1 Tc 2.05
Sm: 0.3679 0.7358 0.9600  6 N 2.38-2.65
Sm: 0.3679 0.7358 0.5400  6 N 2.38-2.65
Sm: 0.6321 0.2642 0.4600  6 N 2.38-2.65
Sm: 0.6321 0.2642 0.0400  6 N 2.38-2.65
Tb: 0.8685 0.7370 0.2500  4 N 2.51
Tb: 0.1315 0.2630 0.7500  4 N 2.51

Values from the calculation:
- calculated volume (Å³/cell) = 243.3
- total moment (μB/f.u.) = 0.000
- E_form (uncorrected) (eV/atom) = -0.969
- total energy (eV/cell) = -131.0

***

No. 10
VASP calculation (PBE-GGA) on a relaxed structure of Tb3SmTh2N6.

Unit cell a=3.5793 b=7.1396 c=7.9742 alpha=102.81 beta=102.97 gamma=90.00
Last column: nearest neighbours and their distance in Å.
Atoms (fractional coordinates):
Th: 0.1651 0.3294 0.3303  6 N 2.48-2.55
Th: 0.8349 0.6706 0.6697  6 N 2.48-2.55
N: 0.3339 0.4167 0.6679  3 Tb 2.51-2.54, 3 Th 2.55
N: 0.0011 0.2554 0.0022  1 Th 2.48, 3 Tb 2.50-2.51, 2 Sm 2.55
N: 0.6661 0.5833 0.3321  3 Tb 2.51-2.54, 3 Th 2.55
N: 0.3320 0.9160 0.6641  2 Th 2.51, 3 Tb 2.52-2.54, 1 Sm 2.54
N: 0.6680 0.0840 0.3359  2 Th 2.51, 3 Tb 2.52-2.54, 1 Sm 2.54
N: 0.9989 0.7446 0.9978  1 Th 2.48, 3 Tb 2.50-2.51, 2 Sm 2.55
Tb: 0.8355 0.1656 0.6710  6 N 2.51-2.54
Tb: 0.1645 0.8344 0.3290  6 N 2.51-2.54
Tb: 0.5000 0.5000 0.0000  6 N 2.50-2.51
Sm: 0.5000 0.0000 0.0000  6 N 2.54-2.55

Values from the calculation:
- calculated volume (Å³/cell) = 193.4
- total moment (μB/f.u.) = 0.000
- E_form (uncorrected) (eV/atom) = -1.615
- total energy (eV/cell) = -102.8

***

No. 11
VASP calculation (PBE-GGA) on a relaxed structure of Tb2SmThN4.

Unit cell a=3.5717 b=6.1675 c=6.1636 alpha=109.36 beta=90.00 gamma=90.00
Last column: nearest neighbours and their distance in Å.
Atoms (fractional coordinates):
N: 0.0000 0.7476 0.2524  3 Tb 2.49-2.52, 2 Th 2.52, 1 Sm 2.54
N: 0.5000 0.2558 0.2529  1 Th 2.50, 3 Tb 2.50-2.53, 2 Sm 2.55
N: 0.0000 0.2524 0.7476  3 Tb 2.49-2.52, 2 Th 2.52, 1 Sm 2.54
N: 0.5000 0.7442 0.7471  1 Th 2.50, 3 Tb 2.50-2.53, 2 Sm 2.55
Tb: 0.5000 0.0000 0.5000  6 N 2.52-2.53
Tb: 0.0000 0.5000 0.5000  6 N 2.49-2.50
Sm: 0.0000 0.0000 0.0000  6 N 2.54-2.55
Th: 0.5000 0.5000 0.0000  6 N 2.50-2.52

Values from the calculation:
- calculated volume (Å³/cell) = 128.1
- total moment (μB/f.u.) = 0.000
- E_form (uncorrected) (eV/atom) = -1.615
- total energy (eV/cell) = -67.6